--- P ---
{
  "formula": "SiSeS2Cl",
  "functional": "GGA-PBE",
  "state": "optimized geometry",
  "lattice": [[4.6469, 0.0000, 0.0000], [0.0000, 4.6469, 0.0000], [0.0000, 0.0000, 4.4616]],
  "species": ["Si", "Se", "S", "S", "Cl"],
  "fractional_positions": [[0.0000, 0.0000, 0.0000], [0.5000, 0.5000, 0.5000], [0.0000, 0.5000, 0.0000], [0.5000, 0.0000, 0.0000], [0.0000, 0.0000, 0.5000]],
  "n_ef_per_ev_atom": 0.5830,
  "spacegroup": "No. 123"
}



--- Q ---
{
  "formula": "SiSeS2Cl",
  "functional": "GGA-PBE",
  "state": "optimized geometry",
  "lattice": [[4.4619, 0.0000, 0.0000], [0.0000, 4.4619, 0.0000], [0.0000, 0.0000, 5.6312]],
  "species": ["Si", "Se", "S", "S", "Cl"],
  "fractional_positions": [[0.0000, 0.0000, 0.0000], [0.5000, 0.5000, 0.0000], [0.0000, 0.5000, 0.5000], [0.5000, 0.0000, 0.5000], [0.0000, 0.0000, 0.5000]],
  "n_ef_per_ev_atom": 0.9259,
  "spacegroup": "No. 123"
}



Stability, lowest: Q



--- P ---
{
  "formula": "SnSeSCl2",
  "functional": "GGA-PBE",
  "state": "optimized geometry",
  "lattice": [[5.0629, 0.0000, 0.0000], [0.0000, 5.0629, 0.0000], [0.0000, 0.0000, 4.9671]],
  "species": ["Sn", "Se", "S", "Cl", "Cl"],
  "fractional_positions": [[0.0000, 0.0000, 0.0000], [0.5000, 0.5000, 0.5000], [0.5000, 0.5000, 0.0000], [0.0000, 0.5000, 0.5000], [0.5000, 0.0000, 0.5000]],
  "n_ef_per_ev_atom": 0.8306,
  "spacegroup": "No. 123"
}



--- Q ---
{
  "formula": "SnSeSCl2",
  "functional": "GGA-PBE",
  "state": "optimized geometry",
  "lattice": [[5.2780, 0.0000, 0.0000], [0.0000, 5.2780, 0.0000], [0.0000, 0.0000, 5.0669]],
  "species": ["Sn", "Se", "S", "Cl", "Cl"],
  "fractional_positions": [[0.0000, 0.0000, 0.0000], [0.5000, 0.5000, 0.5000], [0.0000, 0.0000, 0.5000], [0.0000, 0.5000, 0.0000], [0.5000, 0.0000, 0.0000]],
  "n_ef_per_ev_atom": 0.3625,
  "spacegroup": "No. 123"
}



Stability, lowest: Q



--- P ---
{
  "formula": "SnSeS2Cl",
  "functional": "GGA-PBE",
  "state": "optimized geometry",
  "lattice": [[5.0612, 0.0000, 0.0000], [0.0000, 5.0612, 0.0000], [0.0000, 0.0000, 4.9950]],
  "species": ["Sn", "Se", "S", "S", "Cl"],
  "fractional_positions": [[0.0000, 0.0000, 0.0000], [0.5000, 0.5000, 0.5000], [0.0000, 0.5000, 0.0000], [0.5000, 0.0000, 0.0000], [0.0000, 0.0000, 0.5000]],
  "n_ef_per_ev_atom": 1.1658,
  "spacegroup": "No. 123"
}



--- Q ---
{
  "formula": "SnSeS2Cl",
  "functional": "GGA-PBE",
  "state": "optimized geometry",
  "lattice": [[4.9633, 0.0000, 0.0000], [0.0000, 4.9633, 0.0000], [0.0000, 0.0000, 4.7983]],
  "species": ["Sn", "Se", "S", "S", "Cl"],
  "fractional_positions": [[0.0000, 0.0000, 0.0000], [0.5000, 0.5000, 0.5000], [0.0000, 0.5000, 0.5000], [0.5000, 0.0000, 0.5000], [0.5000, 0.5000, 0.0000]],
  "n_ef_per_ev_atom": 0.1216,
  "spacegroup": "No. 123"
}



Stability, lowest: P



--- P ---
{
  "formula": "SrSeSCl2",
  "functional": "GGA-PBE",
  "state": "optimized geometry",
  "lattice": [[5.1760, 0.0000, 0.0000], [0.0000, 5.1760, 0.0000], [0.0000, 0.0000, 5.0083]],
  "species": ["Sr", "Se", "S", "Cl", "Cl"],
  "fractional_positions": [[0.0000, 0.0000, 0.0000], [0.5000, 0.5000, 0.5000], [0.5000, 0.5000, 0.0000], [0.0000, 0.5000, 0.5000], [0.5000, 0.0000, 0.5000]],
  "n_ef_per_ev_atom": 0.5026,
  "spacegroup": "No. 123"
}



--- Q ---
{
  "formula": "SrSeSCl2",
  "functional": "GGA-PBE",
  "state": "optimized geometry",
  "lattice": [[5.5536, 0.0000, 0.0000], [0.0000, 5.5536, 0.0000], [0.0000, 0.0000, 6.0768]],
  "species": ["Sr", "Se", "S", "Cl", "Cl"],
  "fractional_positions": [[0.0000, 0.0000, 0.0000], [0.5000, 0.5000, 0.5000], [0.0000, 0.0000, 0.5000], [0.0000, 0.5000, 0.0000], [0.5000, 0.0000, 0.0000]],
  "n_ef_per_ev_atom": 1.2622,
  "spacegroup": "No. 123"
}



Stability, lowest: Q



--- P ---
{
  "formula": "TaSeS2Cl",
  "functional": "GGA-PBE",
  "state": "optimized geometry",
  "lattice": [[4.8418, 0.0000, 0.0000], [0.0000, 4.8418, 0.0000], [0.0000, 0.0000, 4.6685]],
  "species": ["Ta", "Se", "S", "S", "Cl"],
  "fractional_positions": [[0.0000, 0.0000, 0.0000], [0.5000, 0.5000, 0.5000], [0.0000, 0.5000, 0.5000], [0.5000, 0.0000, 0.5000], [0.5000, 0.5000, 0.0000]],
  "n_ef_per_ev_atom": 1.2113,
  "spacegroup": "No. 123"
}



--- Q ---
{
  "formula": "TaSeS2Cl",
  "functional": "GGA-PBE",
  "state": "optimized geometry",
  "lattice": [[4.8092, 0.0000, 0.0000], [0.0000, 4.8092, 0.0000], [0.0000, 0.0000, 4.9167]],
  "species": ["Ta", "Se", "S", "S", "Cl"],
  "fractional_positions": [[0.0000, 0.0000, 0.0000], [0.5000, 0.5000, 0.5000], [0.0000, 0.5000, 0.0000], [0.5000, 0.0000, 0.0000], [0.0000, 0.0000, 0.5000]],
  "n_ef_per_ev_atom": 0.6862,
  "spacegroup": "No. 123"
}



Stability, lowest: P



--- P ---
{
  "formula": "TeSeSCl2",
  "functional": "GGA-PBE",
  "state": "optimized geometry",
  "lattice": [[4.7684, 0.0000, 0.0000], [0.0000, 4.7684, 0.0000], [0.0000, 0.0000, 5.6197]],
  "species": ["Te", "Se", "S", "Cl", "Cl"],
  "fractional_positions": [[0.0000, 0.0000, 0.0000], [0.5000, 0.5000, 0.5000], [0.5000, 0.5000, 0.0000], [0.0000, 0.5000, 0.5000], [0.5000, 0.0000, 0.5000]],
  "n_ef_per_ev_atom": 0.6612,
  "spacegroup": "No. 123"
}



--- Q ---
{
  "formula": "TeSeSCl2",
  "functional": "GGA-PBE",
  "state": "optimized geometry",
  "lattice": [[5.3128, 0.0000, 0.0000], [0.0000, 5.3128, 0.0000], [0.0000, 0.0000, 5.1451]],
  "species": ["Te", "Se", "S", "Cl", "Cl"],
  "fractional_positions": [[0.0000, 0.0000, 0.0000], [0.5000, 0.5000, 0.5000], [0.0000, 0.0000, 0.5000], [0.0000, 0.5000, 0.0000], [0.5000, 0.0000, 0.0000]],
  "n_ef_per_ev_atom": 0.6423,
  "spacegroup": "No. 123"
}



Stability, lowest: P



--- P ---
{
  "formula": "TeSeS2Cl",
  "functional": "GGA-PBE",
  "state": "optimized geometry",
  "lattice": [[5.1475, 0.0000, 0.0000], [0.0000, 5.1475, 0.0000], [0.0000, 0.0000, 5.2578]],
  "species": ["Te", "Se", "S", "S", "Cl"],
  "fractional_positions": [[0.0000, 0.0000, 0.0000], [0.5000, 0.5000, 0.5000], [0.0000, 0.5000, 0.0000], [0.5000, 0.0000, 0.0000], [0.0000, 0.0000, 0.5000]],
  "n_ef_per_ev_atom": 0.5470,
  "spacegroup": "No. 123"
}



--- Q ---
{
  "formula": "TeSeS2Cl",
  "functional": "GGA-PBE",
  "state": "optimized geometry",
  "lattice": [[4.9674, 0.0000, 0.0000], [0.0000, 4.9674, 0.0000], [0.0000, 0.0000, 4.7478]],
  "species": ["Te", "Se", "S", "S", "Cl"],
  "fractional_positions": [[0.0000, 0.0000, 0.0000], [0.5000, 0.5000, 0.5000], [0.0000, 0.5000, 0.5000], [0.5000, 0.0000, 0.5000], [0.5000, 0.5000, 0.0000]],
  "n_ef_per_ev_atom": 0.6970,
  "spacegroup": "No. 123"
}



Stability, lowest: P



--- P ---
{
  "formula": "TiSeS2Cl",
  "functional": "GGA-PBE",
  "state": "optimized geometry",
  "lattice": [[4.8991, 0.0000, 0.0000], [0.0000, 4.8991, 0.0000], [0.0000, 0.0000, 4.6950]],
  "species": ["Ti", "Se", "S", "S", "Cl"],
  "fractional_positions": [[0.0000, 0.0000, 0.0000], [0.5000, 0.5000, 0.5000], [0.0000, 0.5000, 0.5000], [0.5000, 0.0000, 0.5000], [0.5000, 0.5000, 0.0000]],
  "n_ef_per_ev_atom": 1.1713,
  "spacegroup": "No. 123"
}



--- Q ---
{
  "formula": "TiSeS2Cl",
  "functional": "GGA-PBE",
  "state": "optimized geometry",
  "lattice": [[4.7700, 0.0000, 0.0000], [0.0000, 4.7700, 0.0000], [0.0000, 0.0000, 4.6848]],
  "species": ["Ti", "Se", "S", "S", "Cl"],
  "fractional_positions": [[0.0000, 0.0000, 0.0000], [0.5000, 0.5000, 0.5000], [0.0000, 0.5000, 0.0000], [0.5000, 0.0000, 0.0000], [0.0000, 0.0000, 0.5000]],
  "n_ef_per_ev_atom": 0.8102,
  "spacegroup": "No. 123"
}



Stability, lowest: P



--- P ---
{
  "formula": "TlSeS2Cl",
  "functional": "GGA-PBE",
  "state": "optimized geometry",
  "lattice": [[5.2063, 0.0000, 0.0000], [0.0000, 5.2063, 0.0000], [0.0000, 0.0000, 5.0681]],
  "species": ["Tl", "Se", "S", "S", "Cl"],
  "fractional_positions": [[0.0000, 0.0000, 0.0000], [0.5000, 0.5000, 0.5000], [0.0000, 0.5000, 0.0000], [0.5000, 0.0000, 0.0000], [0.0000, 0.0000, 0.5000]],
  "n_ef_per_ev_atom": 0.9129,
  "spacegroup": "No. 123"
}



--- Q ---
{
  "formula": "TlSeS2Cl",
  "functional": "GGA-PBE",
  "state": "optimized geometry",
  "lattice": [[4.8956, 0.0000, 0.0000], [0.0000, 4.8956, 0.0000], [0.0000, 0.0000, 5.2291]],
  "species": ["Tl", "Se", "S", "S", "Cl"],
  "fractional_positions": [[0.0000, 0.0000, 0.0000], [0.5000, 0.5000, 0.5000], [0.0000, 0.5000, 0.5000], [0.5000, 0.0000, 0.5000], [0.5000, 0.5000, 0.0000]],
  "n_ef_per_ev_atom": 0.1802,
  "spacegroup": "No. 123"
}



Stability, lowest: P



--- P ---
{
  "formula": "TlSeSCl2",
  "functional": "GGA-PBE",
  "state": "optimized geometry",
  "lattice": [[5.3602, 0.0000, 0.0000], [0.0000, 5.3602, 0.0000], [0.0000, 0.0000, 5.2496]],
  "species": ["Tl", "Se", "S", "Cl", "Cl"],
  "fractional_positions": [[0.0000, 0.0000, 0.0000], [0.5000, 0.5000, 0.5000], [0.0000, 0.0000, 0.5000], [0.0000, 0.5000, 0.0000], [0.5000, 0.0000, 0.0000]],
  "n_ef_per_ev_atom": 0.4912,
  "spacegroup": "No. 123"
}



--- Q ---
{
  "formula": "TlSeSCl2",
  "functional": "GGA-PBE",
  "state": "optimized geometry",
  "lattice": [[5.1849, 0.0000, 0.0000], [0.0000, 5.1849, 0.0000], [0.0000, 0.0000, 4.9281]],
  "species": ["Tl", "Se", "S", "Cl", "Cl"],
  "fractional_positions": [[0.0000, 0.0000, 0.0000], [0.5000, 0.5000, 0.5000], [0.5000, 0.5000, 0.0000], [0.0000, 0.5000, 0.5000], [0.5000, 0.0000, 0.5000]],
  "n_ef_per_ev_atom": 0.2914,
  "spacegroup": "No. 123"
}



Stability, lowest: P



--- P ---
{
  "formula": "VSeSCl2",
  "functional": "GGA-PBE",
  "state": "optimized geometry",
  "lattice": [[4.6564, 0.0000, 0.0000], [0.0000, 4.6564, 0.0000], [0.0000, 0.0000, 4.7175]],
  "species": ["V", "Se", "S", "Cl", "Cl"],
  "fractional_positions": [[0.0000, 0.0000, 0.0000], [0.5000, 0.5000, 0.5000], [0.0000, 0.0000, 0.5000], [0.0000, 0.5000, 0.0000], [0.5000, 0.0000, 0.0000]],
  "n_ef_per_ev_atom": 1.2500,
  "spacegroup": "No. 123"
}



--- Q ---
{
  "formula": "VSeSCl2",
  "functional": "GGA-PBE",
  "state": "optimized geometry",
  "lattice": [[4.9618, 0.0000, 0.0000], [0.0000, 4.9618, 0.0000], [0.0000, 0.0000, 5.0137]],
  "species": ["V", "Se", "S", "Cl", "Cl"],
  "fractional_positions": [[0.0000, 0.0000, 0.0000], [0.5000, 0.5000, 0.5000], [0.5000, 0.5000, 0.0000], [0.0000, 0.5000, 0.5000], [0.5000, 0.0000, 0.5000]],
  "n_ef_per_ev_atom": 1.0880,
  "spacegroup": "No. 123"
}



Stability, lowest: Q



--- P ---
{
  "formula": "YSeSCl2",
  "functional": "GGA-PBE",
  "state": "optimized geometry",
  "lattice": [[5.2645, 0.0000, 0.0000], [0.0000, 5.2645, 0.0000], [0.0000, 0.0000, 5.4306]],
  "species": ["Y", "Se", "S", "Cl", "Cl"],
  "fractional_positions": [[0.0000, 0.0000, 0.0000], [0.5000, 0.5000, 0.5000], [0.0000, 0.0000, 0.5000], [0.0000, 0.5000, 0.0000], [0.5000, 0.0000, 0.0000]],
  "n_ef_per_ev_atom": 0.4913,
  "spacegroup": "No. 123"
}



--- Q ---
{
  "formula": "YSeSCl2",
  "functional": "GGA-PBE",
  "state": "optimized geometry",
  "lattice": [[5.1057, 0.0000, 0.0000], [0.0000, 5.1057, 0.0000], [0.0000, 0.0000, 4.8801]],
  "species": ["Y", "Se", "S", "Cl", "Cl"],
  "fractional_positions": [[0.0000, 0.0000, 0.0000], [0.5000, 0.5000, 0.5000], [0.5000, 0.5000, 0.0000], [0.0000, 0.5000, 0.5000], [0.5000, 0.0000, 0.5000]],
  "n_ef_per_ev_atom": 0.5345,
  "spacegroup": "No. 123"
}



Stability, lowest: Q



--- P ---
{
  "formula": "YSeS2Cl",
  "functional": "GGA-PBE",
  "state": "optimized geometry",
  "lattice": [[5.3429, 0.0000, 0.0000], [0.0000, 5.3429, 0.0000], [0.0000, 0.0000, 5.1767]],
  "species": ["Y", "Se", "S", "S", "Cl"],
  "fractional_positions": [[0.0000, 0.0000, 0.0000], [0.5000, 0.5000, 0.5000], [0.0000, 0.5000, 0.0000], [0.5000, 0.0000, 0.0000], [0.0000, 0.0000, 0.5000]],
  "n_ef_per_ev_atom": 1.1433,
  "spacegroup": "No. 123"
}



--- Q ---
{
  "formula": "YSeS2Cl",
  "functional": "GGA-PBE",
  "state": "optimized geometry",
  "lattice": [[4.8282, 0.0000, 0.0000], [0.0000, 4.8282, 0.0000], [0.0000, 0.0000, 4.9644]],
  "species": ["Y", "Se", "S", "S", "Cl"],
  "fractional_positions": [[0.0000, 0.0000, 0.0000], [0.5000, 0.5000, 0.5000], [0.0000, 0.5000, 0.5000], [0.5000, 0.0000, 0.5000], [0.5000, 0.5000, 0.0000]],
  "n_ef_per_ev_atom": 0.3065,
  "spacegroup": "No. 123"
}



Stability, lowest: Q



--- P ---
{
  "formula": "ZrSeS2Cl",
  "functional": "GGA-PBE",
  "state": "optimized geometry",
  "lattice": [[4.8084, 0.0000, 0.0000], [0.0000, 4.8084, 0.0000], [0.0000, 0.0000, 4.8370]],
  "species": ["Zr", "Se", "S", "S", "Cl"],
  "fractional_positions": [[0.0000, 0.0000, 0.0000], [0.5000, 0.5000, 0.5000], [0.0000, 0.5000, 0.5000], [0.5000, 0.0000, 0.5000], [0.5000, 0.5000, 0.0000]],
  "n_ef_per_ev_atom": 1.0968,
  "spacegroup": "No. 123"
}



--- Q ---
{
  "formula": "ZrSeS2Cl",
  "functional": "GGA-PBE",
  "state": "optimized geometry",
  "lattice": [[5.0373, 0.0000, 0.0000], [0.0000, 5.0373, 0.0000], [0.0000, 0.0000, 5.0956]],
  "species": ["Zr", "Se", "S", "S", "Cl"],
  "fractional_positions": [[0.0000, 0.0000, 0.0000], [0.5000, 0.5000, 0.5000], [0.0000, 0.5000, 0.0000], [0.5000, 0.0000, 0.0000], [0.0000, 0.0000, 0.5000]],
  "n_ef_per_ev_atom": 0.6486,
  "spacegroup": "No. 123"
}



Stability, lowest: P